[1]
The following is a PBEsol calculation of a relaxed BaInCl2 crystal, from Alexandria.

Cell lengths 7.364, 9.138, 4.255 Å; angles 90.00, 118.36, 90.00 degrees
Space group C2/m (No. 12)
Inequivalent atoms, fractional coordinates:
Ba 0.000 0.000 0.000 [2 per cell]
In 0.000 0.500 0.000 [2 per cell]
Cl 0.250 0.250 0.500 [4 per cell]

Computed properties:
total energy = -28.9 eV for the cell shown
calculated volume = 31.50 Å³ per atom


[2]
The following is a PBEsol calculation of a relaxed BaInCl crystal, from Alexandria.

Cell lengths 7.388, 7.388, 7.388 Å; angles 90.00, 90.00, 90.00 degrees
Space group F-43m (No. 216)
Inequivalent atoms, fractional coordinates:
Ba 0.000 0.000 0.000 [4 per cell]
In 0.000 0.000 0.500 [4 per cell]
Cl 0.250 0.250 0.750 [4 per cell]

Computed properties:
total energy = -38.9 eV for the cell shown
calculated volume = 33.60 Å³ per atom


[3]
The following is a PBEsol calculation of a relaxed BaInCl2 crystal, from Alexandria.

Cell lengths 3.695, 3.695, 9.421 Å; angles 90.00, 90.00, 90.00 degrees
Space group P4/mmm (No. 123)
Inequivalent atoms, fractional coordinates:
Ba 0.000 0.000 0.000 [1 per cell]
In 0.000 0.000 0.500 [1 per cell]
Cl 0.500 0.500 0.181 [2 per cell]

Computed properties:
total energy = -14.9 eV for the cell shown
calculated volume = 32.16 Å³ per atom


[4]
The following is a PBEsol calculation of a relaxed Ba2InCl crystal, from Alexandria.

Cell lengths 4.659, 4.659, 13.870 Å; angles 90.00, 90.00, 90.00 degrees
Space group I-4m2 (No. 119)
Inequivalent atoms, fractional coordinates:
Ba 0.000 0.000 0.000 [2 per cell]
Ba 0.000 0.500 0.250 [2 per cell]
In 0.000 0.500 0.750 [2 per cell]
Cl 0.000 0.000 0.500 [2 per cell]

Computed properties:
total energy = -25.0 eV for the cell shown
calculated volume = 37.63 Å³ per atom


[5]
The following is a PBEsol calculation of a relaxed BaInCl2 crystal, from Alexandria.

Cell lengths 4.4938, 4.4938, 27.2742 Å; angles 90.00, 90.00, 120.00 degrees
Space group R-3m (No. 166, hexagonal axes)
Inequivalent atoms, fractional coordinates:
Ba 0.0000 0.0000 0.0000 [3 per cell]
In 0.0000 0.0000 0.5000 [3 per cell]
Cl 0.0000 0.0000 0.2771 [6 per cell]

Computed properties:
total energy = -44.1 eV for the cell shown
calculated volume = 39.75 Å³ per atom


[6]
The following is a PBEsol calculation of a relaxed Ba2InCl crystal, from Alexandria.

Cell lengths 4.198, 4.069, 9.037 Å; angles 90.00, 90.09, 90.00 degrees
Space group P2/m (No. 10)
Inequivalent atoms, fractional coordinates:
Ba 0.001 0.000 0.232 [2 per cell]
In 0.500 0.500 0.000 [1 per cell]
Cl 0.000 0.500 0.500 [1 per cell]

Computed properties:
total energy = -13.7 eV for the cell shown
calculated volume = 38.60 Å³ per atom


[7]
The following is a PBEsol calculation of a relaxed Ba2InCl crystal, from Alexandria.

Cell lengths 3.826, 3.826, 8.974 Å; angles 90.00, 90.00, 90.00 degrees
Space group P4/mmm (No. 123)
Inequivalent atoms, fractional coordinates:
Ba 0.000 0.000 0.242 [2 per cell]
In 0.500 0.500 0.500 [1 per cell]
Cl 0.500 0.500 0.000 [1 per cell]

Computed properties:
total energy = -13.6 eV for the cell shown
calculated volume = 32.84 Å³ per atom


[8]
The following is a PBEsol calculation of a relaxed Ba3InS4Cl crystal, from Alexandria.

Cell lengths 8.303, 8.303, 14.338 Å; angles 90.00, 90.00, 90.00 degrees
Space group I4/mcm (No. 140)
Inequivalent atoms, fractional coordinates:
Ba 0.000 0.000 0.250 [4 per cell]
Ba 0.153 0.347 0.000 [8 per cell]
In 0.000 0.500 0.250 [4 per cell]
S 0.160 0.340 0.358 [16 per cell]
Cl 0.000 0.000 0.000 [4 per cell]

Computed properties:
total energy = -180.5 eV for the cell shown
calculated volume = 27.46 Å³ per atom


> Among the records above, which one has the lowest total energy?

Ba3InS4Cl


> Among the records above, which one has the lowest total energy?

Ba3InS4Cl


> Look up the total energy of the seventh one.

-13.6 eV for the cell shown


> Look up the calculated volume of the first one.

31.50 Å³ per atom